Here is a geometry-optimized Na4Tb3SbSe8 structure from the Alexandria database. Energies are from GGA-PBE.

abc: 8.3428 8.3428 21.0112
angles: 90.00 90.00 120.00
Space group R-3m (No. 166, hexagonal axes)
Unique sites:
Na1 0.0000 0.0000 0.0000
Na2 0.0000 0.5000 0.0000
Tb1 0.0000 0.5000 0.5000
Sb1 0.0000 0.0000 0.5000
Se1 0.0000 0.0000 0.2433
Se2 0.0002 0.5001 0.2434

* formation energy (no corrections): -1441 meV per atom